DFT (PBE) results for a relaxed Ac5Pr12Er2 crystal.

Lattice parameters (Å, degrees): 12.2130 12.2130 9.0888 109.94 109.94 35.35
Sites, in units of the cell vectors:
1 Ac 0.0000 0.0000 0.0000
2 Ac 0.2451 0.2451 0.9837
3 Ac 0.3495 0.3495 0.4106
4 Ac 0.6505 0.6505 0.5894
5 Ac 0.7549 0.7549 0.0163
6 Pr 0.0532 0.5477 0.7100
7 Pr 0.1375 0.1375 0.5455
8 Pr 0.1560 0.6345 0.1247
9 Pr 0.3655 0.8440 0.8753
10 Pr 0.4523 0.9468 0.2900
11 Pr 0.4533 0.4533 0.8071
12 Pr 0.5467 0.5467 0.1929
13 Pr 0.5477 0.0532 0.7100
14 Pr 0.6345 0.1560 0.1247
15 Pr 0.8440 0.3655 0.8753
16 Pr 0.8625 0.8625 0.4545
17 Pr 0.9468 0.4523 0.2900
18 Er 0.2596 0.7404 0.5000
19 Er 0.7404 0.2596 0.5000

N(E_F) = 29.90 states/eV/cell
total DFT energy (no corrections) = -4.44 eV per atom
total magnetic moment = 0.00 μB per formula unit
space-group type = C2/m (12)


DFT (PBE) results for a relaxed CsRh2S crystal.

Lattice parameters (Å, degrees): 8.4136 8.4136 8.4136 143.13 143.13 53.13
Sites, in units of the cell vectors:
1 Cs 0.3750 0.6250 0.7500
2 Cs 0.6250 0.3750 0.2500
3 Rh 0.0000 0.0000 0.0000
4 Rh 0.0000 0.0000 0.5000
5 Rh 0.0000 0.5000 0.0000
6 Rh 0.5000 0.0000 0.5000
7 S 0.1250 0.8750 0.2500
8 S 0.8750 0.1250 0.7500

N(E_F) = 10.20 states/eV/cell
raw formation energy = -22 meV per atom
total DFT energy (no corrections) = -4.94 eV per atom
total magnetic moment = 1.04 μB per formula unit
space-group type = I4_1/amd (141)


DFT (PBE) results for a relaxed La2DyTc crystal.

Lattice parameters (Å, degrees): 7.4237 9.7000 6.5465 90.00 90.00 90.00
Sites, in units of the cell vectors:
1 La 0.1759 0.0668 0.1677
2 La 0.1759 0.4332 0.1677
3 La 0.3241 0.5668 0.6677
4 La 0.3241 0.9332 0.6677
5 La 0.6759 0.0668 0.3323
6 La 0.6759 0.4332 0.3323
7 La 0.8241 0.5668 0.8323
8 La 0.8241 0.9332 0.8323
9 Dy 0.0568 0.2500 0.6425
10 Dy 0.4432 0.7500 0.1425
11 Dy 0.5568 0.2500 0.8575
12 Dy 0.9432 0.7500 0.3575
13 Tc 0.0918 0.7500 0.9581
14 Tc 0.4082 0.2500 0.4581
15 Tc 0.5918 0.7500 0.5419
16 Tc 0.9082 0.2500 0.0419

N(E_F) = 14.18 states/eV/cell
excess energy over the best structure of this formula in the dataset = 0 meV/atom
total DFT energy (no corrections) = -6.25 eV per atom
total magnetic moment = 0.00 μB per formula unit
space-group type = Pnma (62)


DFT (PBE) results for a relaxed GdDyGa2 crystal.

Lattice parameters (Å, degrees): 3.5790 3.5790 7.2337 90.00 90.00 90.00
Sites, in units of the cell vectors:
1 Gd 0.0000 0.0000 0.0000
2 Dy 0.0000 0.0000 0.5000
3 Ga 0.5000 0.5000 0.2551
4 Ga 0.5000 0.5000 0.7449

N(E_F) = 2.06 states/eV/cell
excess energy over the best structure of this formula in the dataset = 0 meV/atom
total DFT energy (no corrections) = -6.77 eV per atom
total magnetic moment = 7.17 μB per formula unit
space-group type = P4/mmm (123)


DFT (PBE) results for a relaxed AcPmSi crystal.

Lattice parameters (Å, degrees): 4.6567 4.6567 8.4324 90.00 90.00 90.00
Sites, in units of the cell vectors:
1 Ac 0.2500 0.2500 0.1405
2 Ac 0.7500 0.7500 0.8595
3 Pm 0.2500 0.7500 0.5000
4 Pm 0.7500 0.2500 0.5000
5 Si 0.2500 0.2500 0.7502
6 Si 0.7500 0.7500 0.2498

N(E_F) = 8.00 states/eV/cell
raw formation energy = -423 meV per atom
excess energy over the best structure of this formula in the dataset = 0 meV/atom
total DFT energy (no corrections) = -5.18 eV per atom
total magnetic moment = 0.69 μB per formula unit
space-group type = P4/nmm (129)


DFT (PBE) results for a relaxed Sr2PmI crystal.

Lattice parameters (Å, degrees): 12.7578 12.7578 12.7578 18.00 18.00 18.00
Sites, in units of the cell vectors:
1 Sr 0.0985 0.0985 0.0985
2 Sr 0.9015 0.9015 0.9015
3 Pm 0.0000 0.0000 0.0000
4 I 0.5000 0.5000 0.5000

N(E_F) = 4.85 states/eV/cell
raw formation energy = -238 meV per atom
excess energy over the best structure of this formula in the dataset = 222 meV/atom
total DFT energy (no corrections) = -2.65 eV per atom
total magnetic moment = 0.54 μB per formula unit
space-group type = R-3m (166)